[1]
! PBE KSr2Cd, optimized geometry; values from VASP
&SYSTEM
  ibrav = 0, nat = 4, ntyp = 3
/
ATOMIC_SPECIES
K 39.10 K.upf
Sr 87.62 Sr.upf
Cd 112.41 Cd.upf
ATOMIC_POSITIONS crystal
K 0.000 0.000 0.000
Sr 0.250 0.750 0.500
Sr 0.500 0.500 0.000
Cd 0.750 0.250 0.500
CELL_PARAMETERS angstrom
-2.720 2.720 6.112
2.720 -2.720 6.112
2.720 2.720 -6.112
! **Symmetry**: No. 119



[2]
! PBE KSrCd, optimized geometry; values from VASP
&SYSTEM
  ibrav = 0, nat = 6, ntyp = 3
/
ATOMIC_SPECIES
K 39.10 K.upf
Sr 87.62 Sr.upf
Cd 112.41 Cd.upf
ATOMIC_POSITIONS crystal
K 0.188 0.812 0.750
K 0.812 0.188 0.250
Sr 0.430 0.570 0.750
Sr 0.570 0.430 0.250
Cd 0.036 0.964 0.750
Cd 0.964 0.036 0.250
CELL_PARAMETERS angstrom
2.311 -12.515 0.000
2.311 12.515 0.000
0.000 0.000 4.930
! **ΔE to the lowest computed polymorph**: 0.000 eV per atom
! **Symmetry**: No. 63



Number 1: formation energy 0.065 eV/atom. Number 2: formation energy -0.162 eV/atom.